# 1
TbSc2In (PBE, optimized geometry); SG = R3m (160); calculated volume = 26.034 A^3/atom; size of the total moment = 0.0 Bohr magnetons per cell; density of states at the Fermi level = 1.215 states/eV/atom; E above lowest polymorph = 146.8 meV/atom; total energy = -5.1258 eV/atom
1.0
3.3859 0.0000 0.0000
1.6930 2.9323 0.0000
1.6930 0.9774 10.4884
Sc In Tb
2 1 1
Cartesian
1.6930 0.9774 8.0150
1.6930 0.9774 2.4727
3.3859 1.9549 0.0065
3.3859 1.9549 5.2384

=====

# 2
LiCd2Br6 (PBE, optimized geometry); SG = C2/c (15); calculated volume = 32.135 A^3/atom; size of the total moment = 0.5 Bohr magnetons per cell; density of states at the Fermi level = 0.888 states/eV/atom; formation energy from raw total energies = -0.78 eV per atom; total energy = -2.3112 eV/atom
1.0
7.5753 -0.4843 -0.4688
1.6126 8.7005 0.7052
1.6126 0.9867 8.6731
Cd Li Br
4 2 12
Cartesian
7.1503 3.2126 1.7358
7.4379 7.1219 5.5204
3.6502 5.9904 7.1737
3.3626 2.0811 3.3891
3.5064 1.6159 7.7809
7.2941 7.5871 1.1286
2.0702 1.5588 5.5947
5.9187 2.5794 4.0157
4.9426 3.8029 7.7672
8.6694 4.8637 6.2271
8.7302 7.6442 3.3148
4.8817 6.6236 4.8938
3.3784 0.2852 1.4753
7.4221 8.9178 7.4342
2.1311 4.3393 2.6824
5.8579 5.4001 1.1423
7.1660 1.2417 0.0028
3.6344 7.9613 8.9067

=====

# 3
Ac3Ir (PBE, optimized geometry); SG = Pnma (62); calculated volume = 41.876 A^3/atom; size of the total moment = 0.0 Bohr magnetons per cell; density of states at the Fermi level = 1.042 states/eV/atom; E above lowest polymorph = 34.2 meV/atom; total energy = -5.6596 eV/atom
1.0
7.3297 0.0000 0.0000
0.0000 8.0894 0.0000
0.0000 0.0000 11.3002
Ir Ac
4 12
Cartesian
3.6649 4.0445 5.6503
7.3296 0.0002 11.3000
0.0001 8.0892 5.6499
3.6648 4.0450 0.0001
1.2197 2.5657 6.4592
6.1100 5.5233 4.8410
4.7296 3.6603 8.4750
6.2649 7.7050 8.4752
4.8845 1.4786 4.8410
2.4452 6.6108 10.4911
2.4451 6.6103 6.4592
2.6001 4.4291 2.8249
1.0648 0.3844 2.8251
4.8846 1.4790 0.8091
1.2197 2.5661 10.4911
6.1100 5.5237 0.8091

=====

# 4
Cr2SiOs (PBE, optimized geometry); SG = Cmmm (65); calculated volume = 12.675 A^3/atom; size of the total moment = 0.0 Bohr magnetons per cell; density of states at the Fermi level = 1.065 states/eV/atom; formation energy from raw total energies = -0.03 eV per atom; total energy = -9.0069 eV/atom
1.0
4.5258 0.0061 -0.0334
-1.8793 4.1172 -0.0334
0.0194 0.0302 2.7186
Cr Si Os
2 1 1
Cartesian
1.3233 2.0617 -0.0334
0.0000 0.0000 0.0000
-0.9299 2.0737 1.3426
2.2726 0.0182 1.3426

=====

# 5
Sm7Ho3Sc (PBE, optimized geometry); SG = C2/m (12); calculated volume = 33.246 A^3/atom; size of the total moment = 0.0 Bohr magnetons per cell; density of states at the Fermi level = 1.333 states/eV/atom; E above lowest polymorph = 101.1 meV/atom; total energy = -4.5894 eV/atom
1.0
-5.6086 -0.5538 -1.2463
4.6359 -4.4617 -5.5047
2.3653 -6.0578 5.4229
Sm Ho Sc
7 3 1
Cartesian
3.5006 -5.2597 -0.0409
0.3068 -8.1012 2.2275
1.6135 -7.1827 -4.0609
0.2912 -2.3710 -0.2858
1.0857 -2.9721 -3.5555
-0.2209 -3.8906 2.7328
1.1014 -8.7023 -1.0422
4.1741 -4.7863 -3.2822
2.8271 -5.7332 3.2004
-2.8043 -0.2769 -0.6231
0.6963 -5.5366 -0.6640

=====

# 6
Cs3NpTl2Te6 (PBE, optimized geometry); SG = C2/m (12); calculated volume = 42.995 A^3/atom; size of the total moment = 1.9 Bohr magnetons per cell; density of states at the Fermi level = 0.639 states/eV/atom; formation energy from raw total energies = -0.63 eV per atom; total energy = -3.8843 eV/atom
1.0
8.2792 0.0127 0.0188
-4.1266 7.1775 0.0188
-1.3666 -2.3663 8.6625
Np Cs Te Tl
1 3 6 2
Cartesian
0.0000 0.0000 0.0000
-2.5758 4.7040 4.3500
5.3617 0.1198 4.3500
1.3930 2.4119 4.3500
0.2964 4.8147 7.0680
2.4895 0.0092 1.6321
-1.2362 2.1609 1.6321
4.0222 2.6629 7.0680
2.9274 5.0688 1.7341
-0.1415 -0.2449 6.9660
4.0957 2.4288 0.0188
0.0568 4.7614 0.0188